(1)
Computed, not measured: In2SbCl after structural relaxation at the GGA-PBEsol level of DFT.

a b c (Å): 3.393 3.393 10.227
angles (deg): 80.45 80.45 60.00
Atoms (fractional coordinates):
Sb1 0.500 0.500 0.500
In1 0.258 0.258 0.227
In2 0.742 0.742 0.773
Cl1 0.000 0.000 0.000

- relative energy among the computed polymorphs (kJ/mol of atoms) = 15.3

---

(2)
Computed, not measured: Sm6InCo2 after structural relaxation at the GGA-PBEsol level of DFT.

a b c (Å): 8.391 8.391 8.391
angles (deg): 73.05 70.86 112.38
Atoms (fractional coordinates):
Sm1 0.602 0.786 0.184
Sm2 0.187 0.510 0.677
Sm3 0.813 0.490 0.323
Sm4 0.706 0.735 0.559
Sm5 0.706 0.265 0.030
Sm6 0.398 0.214 0.816
Sm7 0.030 0.214 0.184
Sm8 0.813 0.136 0.677
Sm9 0.294 0.735 0.970
Sm10 0.294 0.265 0.441
Sm11 0.970 0.786 0.816
Sm12 0.187 0.864 0.323
Co1 0.000 0.888 0.112
Co2 0.000 0.112 0.888
Co3 0.839 0.500 0.661
Co4 0.161 0.500 0.339
In1 0.500 0.500 0.000
In2 0.500 0.000 0.500

- energy of formation from the pure elements (eV/f.u.) = -1.9

---

(3)
Computed, not measured: MnPIr3 after structural relaxation at the GGA-PBEsol level of DFT.

a b c (Å): 4.395 4.395 4.395
angles (deg): 90.00 90.00 90.00
Atoms (fractional coordinates):
Ir1 0.500 0.000 0.000
Ir2 0.000 0.000 0.500
Ir3 0.000 0.500 0.000
P1 0.500 0.500 0.500
Mn1 0.000 0.000 0.000

- energy of formation from the pure elements (eV/f.u.) = 8.3
- relative energy among the computed polymorphs (kJ/mol of atoms) = 104.4

---

(4)
Computed, not measured: CaAlHg2 after structural relaxation at the GGA-PBEsol level of DFT.

a b c (Å): 4.977 4.977 4.977
angles (deg): 60.00 60.00 60.00
Atoms (fractional coordinates):
Al1 0.500 0.500 0.500
Hg1 0.750 0.750 0.750
Hg2 0.000 0.000 0.000
Ca1 0.250 0.250 0.250

- energy of formation from the pure elements (eV/f.u.) = -0.9

---

Number 1: raw total energy -3.325 eV per atom. Number 2: raw total energy -5.659 eV per atom. Number 3: raw total energy -7.336 eV per atom. Number 4: raw total energy -2.062 eV per atom.